(1)
Entry from the Alexandria database: a relaxed Ba12Na3Hg5 crystal (PBE).

Properties
Space group: Ia-3d (230)

Cell lengths 18.275, 18.275, 18.275 Å; angles 109.47, 109.47, 109.47 degrees
Fractional coordinates of all 80 atoms:
1 Ba 0.035 0.208 0.118
2 Ba 0.035 0.327 0.918
3 Ba 0.082 0.618 0.409
4 Ba 0.082 0.965 0.673
5 Ba 0.091 0.708 0.673
6 Ba 0.091 0.882 0.418
7 Ba 0.118 0.035 0.208
8 Ba 0.118 0.582 0.909
9 Ba 0.173 0.208 0.591
10 Ba 0.173 0.465 0.582
11 Ba 0.208 0.118 0.035
12 Ba 0.208 0.591 0.173
13 Ba 0.292 0.327 0.909
14 Ba 0.292 0.465 0.382
15 Ba 0.327 0.909 0.292
16 Ba 0.327 0.918 0.035
17 Ba 0.382 0.292 0.465
18 Ba 0.382 0.591 0.918
19 Ba 0.409 0.082 0.618
20 Ba 0.409 0.827 0.792
21 Ba 0.418 0.091 0.882
22 Ba 0.418 0.827 0.535
23 Ba 0.465 0.382 0.292
24 Ba 0.465 0.582 0.173
25 Ba 0.535 0.418 0.827
26 Ba 0.535 0.618 0.708
27 Ba 0.582 0.173 0.465
28 Ba 0.582 0.909 0.118
29 Ba 0.591 0.173 0.208
30 Ba 0.591 0.918 0.382
31 Ba 0.618 0.409 0.082
32 Ba 0.618 0.708 0.535
33 Ba 0.673 0.082 0.965
34 Ba 0.673 0.091 0.708
35 Ba 0.708 0.535 0.618
36 Ba 0.708 0.673 0.091
37 Ba 0.792 0.409 0.827
38 Ba 0.792 0.882 0.965
39 Ba 0.827 0.535 0.418
40 Ba 0.827 0.792 0.409
41 Ba 0.882 0.418 0.091
42 Ba 0.882 0.965 0.792
43 Ba 0.909 0.118 0.582
44 Ba 0.909 0.292 0.327
45 Ba 0.918 0.035 0.327
46 Ba 0.918 0.382 0.591
47 Ba 0.965 0.673 0.082
48 Ba 0.965 0.792 0.882
49 Na 0.125 0.250 0.375
50 Na 0.125 0.375 0.750
51 Na 0.250 0.375 0.125
52 Na 0.250 0.875 0.625
53 Na 0.375 0.125 0.250
54 Na 0.375 0.750 0.125
55 Na 0.625 0.250 0.875
56 Na 0.625 0.875 0.750
57 Na 0.750 0.125 0.375
58 Na 0.750 0.625 0.875
59 Na 0.875 0.625 0.250
60 Na 0.875 0.750 0.625
61 Hg 0.000 0.000 0.000
62 Hg 0.000 0.000 0.500
63 Hg 0.000 0.500 0.000
64 Hg 0.000 0.500 0.500
65 Hg 0.125 0.750 0.875
66 Hg 0.125 0.875 0.250
67 Hg 0.250 0.125 0.875
68 Hg 0.250 0.625 0.375
69 Hg 0.375 0.250 0.625
70 Hg 0.375 0.625 0.750
71 Hg 0.500 0.000 0.000
72 Hg 0.500 0.000 0.500
73 Hg 0.500 0.500 0.000
74 Hg 0.500 0.500 0.500
75 Hg 0.625 0.375 0.250
76 Hg 0.625 0.750 0.375
77 Hg 0.750 0.375 0.625
78 Hg 0.750 0.875 0.125
79 Hg 0.875 0.125 0.750
80 Hg 0.875 0.250 0.125

(2)
Entry from the Alexandria database: a relaxed Ba4NaHg5 crystal (PBE).

Properties
Space group: P4/mmm (123)

Cell lengths 4.161, 4.161, 20.274 Å; angles 90.00, 90.00, 90.00 degrees
Fractional coordinates of all 10 atoms:
1 Ba 0.000 0.000 0.105
2 Ba 0.000 0.000 0.315
3 Ba 0.000 0.000 0.685
4 Ba 0.000 0.000 0.895
5 Na 0.000 0.000 0.500
6 Hg 0.500 0.500 0.000
7 Hg 0.500 0.500 0.211
8 Hg 0.500 0.500 0.422
9 Hg 0.500 0.500 0.578
10 Hg 0.500 0.500 0.789

(3)
Entry from the Alexandria database: a relaxed BaNa5Hg6 crystal (PBE).

Properties
Space group: P2/m (10)

Cell lengths 5.660, 7.455, 8.576 Å; angles 90.00, 108.92, 90.00 degrees
Fractional coordinates of all 12 atoms:
1 Ba 0.000 0.000 0.000
2 Na 0.000 0.500 0.000
3 Na 0.351 0.000 0.651
4 Na 0.416 0.500 0.676
5 Na 0.584 0.500 0.324
6 Na 0.649 0.000 0.349
7 Hg 0.094 0.285 0.346
8 Hg 0.094 0.715 0.346
9 Hg 0.500 0.275 0.000
10 Hg 0.500 0.725 0.000
11 Hg 0.906 0.285 0.654
12 Hg 0.906 0.715 0.654

Energy relative to the elements for the records above, in order: -5.00, -44.02, -27.83 kJ per mole of atoms
Density of states at the Fermi level for the records above, in order: 22.893, 8.199, 5.478 states/eV/f.u.